Here is a geometry-optimized Zr2Cu3 structure from the Alexandria database. Energies are from GGA-PBE.

```
Zr2Cu3
1.0
0.000 7.010 2.625
4.486 0.000 2.625
4.486 7.010 0.000
Zr Cu
4 6
direct
0.225 0.775 0.382 Zr
0.632 0.868 0.475 Zr
0.775 0.225 0.618 Zr
0.868 0.632 0.025 Zr
0.190 0.801 0.055 Cu
0.195 0.296 0.060 Cu
0.296 0.195 0.449 Cu
0.316 0.316 0.684 Cu
0.566 0.566 0.934 Cu
0.801 0.190 0.954 Cu
```

Values from the calculation:
E_form	-0.093	eV per atom
energy above the lowest structure with this stoichiometry	26.4	meV/atom